1.
Density functional theory data (GGA-PBE) for a relaxed NaSmPb2S4 crystal.

Cell lengths 4.149, 7.121, 7.240 Å; angles 108.56, 90.00, 90.00 degrees
Element x y z (fractional)
Na  0.500  0.500  0.000
Sm  0.000  0.000  0.000
Pb  0.500  0.000  0.500
Pb  0.000  0.500  0.500
S  0.500  0.237  0.231
S  0.500  0.763  0.769
S  0.000  0.243  0.762
S  0.000  0.757  0.238

Space-group type   P2/m (10)
Uncorrected formation energy   -1.134 eV/atom

***

2.
Density functional theory data (GGA-PBE) for a relaxed Tb4Dy5Ho crystal.

Cell lengths 5.877, 8.008, 8.008 Å; angles 82.26, 68.47, 68.47 degrees
Element x y z (fractional)
Tb  0.450  0.324  0.676
Tb  0.774  0.676  0.676
Tb  0.126  0.324  0.324
Tb  0.450  0.676  0.324
Dy  0.762  0.378  0.000
Dy  0.140  0.000  0.622
Dy  0.763  0.000  0.378
Dy  0.140  0.622  0.000
Dy  0.687  0.000  0.000
Ho  0.215  0.000  0.000

E above lowest polymorph   246 meV per atom
Space-group type   I4mm (107)
Fermi-level density of states   13.5 states/eV per cell

***

3.
Density functional theory data (GGA-PBE) for a relaxed Y2Bi2Ir crystal.

Cell lengths 7.435, 7.435, 5.084 Å; angles 90.00, 90.00, 90.00 degrees
Element x y z (fractional)
Y  0.328  0.828  0.000
Y  0.828  0.672  0.000
Y  0.672  0.172  0.000
Y  0.172  0.328  0.000
Ir  0.000  0.000  0.000
Ir  0.500  0.500  0.000
Bi  0.146  0.646  0.500
Bi  0.646  0.854  0.500
Bi  0.854  0.354  0.500
Bi  0.354  0.146  0.500

E above lowest polymorph   95 meV per atom
Space-group type   P4/mbm (127)
Fermi-level density of states   6.7 states/eV per cell

***

4.
Density functional theory data (GGA-PBE) for a relaxed ErAgRu crystal.

Cell lengths 5.302, 7.153, 7.153 Å; angles 81.32, 70.48, 70.48 degrees
Element x y z (fractional)
Ag  0.378  0.696  0.946
Ag  0.621  0.804  0.554
Ag  0.622  0.304  0.054
Ag  0.379  0.196  0.446
Er  0.006  0.502  0.752
Er  0.006  0.001  0.252
Er  0.994  0.498  0.248
Er  0.994  0.999  0.748
Ru  0.569  0.402  0.652
Ru  0.570  0.902  0.152
Ru  0.431  0.598  0.348
Ru  0.430  0.098  0.848

Space-group type   P2_1/m (11)
Electronic total energy   -5.636 eV/atom
Fermi-level density of states   10.1 states/eV per cell

***

5.
Density functional theory data (GGA-PBE) for a relaxed Y2HgAu2 crystal.

Cell lengths 5.333, 5.333, 6.064 Å; angles 63.91, 63.91, 90.00 degrees
Element x y z (fractional)
Y  0.750  0.250  0.500
Y  0.250  0.750  0.500
Au  0.364  0.364  0.272
Au  0.636  0.636  0.728
Hg  0.000  0.000  0.000

Space-group type   I4/mmm (139)
Electronic total energy   -4.444 eV/atom
Fermi-level density of states   3.1 states/eV per cell

***

6.
Density functional theory data (GGA-PBE) for a relaxed Pm4TlTe5 crystal.

Cell lengths 4.483, 4.483, 19.379 Å; angles 83.36, 83.36, 60.00 degrees
Element x y z (fractional)
Pm  0.905  0.905  0.285
Pm  0.302  0.302  0.095
Pm  0.698  0.698  0.905
Pm  0.095  0.095  0.715
Tl  0.500  0.500  0.500
Te  0.397  0.397  0.810
Te  0.000  0.000  0.000
Te  0.603  0.603  0.190
Te  0.793  0.793  0.621
Te  0.207  0.207  0.379

Space-group type   R-3m (166)
Fermi-level density of states   5.4 states/eV per cell
Uncorrected formation energy   -1.274 eV/atom

***

7.
Density functional theory data (GGA-PBE) for a relaxed KAg2Br4 crystal.

Cell lengths 8.395, 8.525, 8.521 Å; angles 76.00, 60.49, 60.50 degrees
Element x y z (fractional)
K  0.750  0.500  0.500
K  0.000  0.000  0.000
Br  0.114  0.282  0.675
Br  0.679  0.175  0.781
Br  0.072  0.718  0.325
Br  0.604  0.325  0.282
Br  0.210  0.675  0.718
Br  0.635  0.825  0.219
Br  0.146  0.218  0.175
Br  0.540  0.782  0.825
Ag  0.461  0.664  0.164
Ag  0.289  0.336  0.836
Ag  0.875  0.836  0.664
Ag  0.375  0.164  0.336

E above lowest polymorph   18 meV per atom
Space-group type   I2_12_12_1 (24)
Fermi-level density of states   18.4 states/eV per cell
Uncorrected formation energy   -0.649 eV/atom

***

8.
Density functional theory data (GGA-PBE) for a relaxed NaBi2Ir2 crystal.

Cell lengths 4.203, 4.203, 7.745 Å; angles 74.26, 74.26, 90.00 degrees
Element x y z (fractional)
Na  0.000  0.000  0.000
Ir  0.750  0.250  0.500
Ir  0.250  0.750  0.500
Bi  0.370  0.370  0.261
Bi  0.630  0.630  0.739

E above lowest polymorph   0 meV per atom
Space-group type   I4/mmm (139)
Fermi-level density of states   2.8 states/eV per cell

***

Please write out number 2 again, unchanged.
Density functional theory data (GGA-PBE) for a relaxed Tb4Dy5Ho crystal.

Cell lengths 5.877, 8.008, 8.008 Å; angles 82.26, 68.47, 68.47 degrees
Element x y z (fractional)
Tb  0.450  0.324  0.676
Tb  0.774  0.676  0.676
Tb  0.126  0.324  0.324
Tb  0.450  0.676  0.324
Dy  0.762  0.378  0.000
Dy  0.140  0.000  0.622
Dy  0.763  0.000  0.378
Dy  0.140  0.622  0.000
Dy  0.687  0.000  0.000
Ho  0.215  0.000  0.000

E above lowest polymorph   246 meV per atom
Space-group type   I4mm (107)
Fermi-level density of states   13.5 states/eV per cell